DFT (GGA-PBE) results for a relaxed structure of BaLi2PtAu.

Cell and atoms, written as CIF:
```
data_BaLi2PtAu
_symmetry_space_group_name_H-M 'P 4/m m m'
_symmetry_Int_Tables_number 123
_symmetry_space_group_name_Hall '-P 4 2'
_cell_length_a 4.7768
_cell_length_b 4.7768
_cell_length_c 5.4100
_cell_angle_alpha 90.00
_cell_angle_beta 90.00
_cell_angle_gamma 90.00
loop_
_atom_site_label
_atom_site_fract_x
_atom_site_fract_y
_atom_site_fract_z
_atom_site_occupancy
Ba1 0.0000 0.0000 0.0000 1
Li1 0.0000 0.5000 0.5000 1
Pt1 0.5000 0.5000 0.5000 1
Au1 0.5000 0.5000 0.0000 1
```

Properties
Its energy is -17.1 eV per cell. The value obtained for the formation energy is -0.41 eV per atom. The crystal system is tetragonal.

=====

DFT (GGA-PBE) results for a relaxed structure of Ba8LiPtAu2.

Cell and atoms, written as CIF:
```
data_Ba8LiPtAu2
_symmetry_space_group_name_H-M 'P 1 2/m 1'
_symmetry_Int_Tables_number 10
_symmetry_space_group_name_Hall '-P 2y'
_cell_length_a 7.6948
_cell_length_b 9.8088
_cell_length_c 7.9825
_cell_angle_alpha 90.00
_cell_angle_beta 90.57
_cell_angle_gamma 90.00
loop_
_atom_site_label
_atom_site_fract_x
_atom_site_fract_y
_atom_site_fract_z
_atom_site_occupancy
Ba1 0.2271 0.0000 0.3492 1
Ba2 0.2432 0.5000 0.3175 1
Ba3 0.2648 0.2738 0.8287 1
Li1 0.5000 0.0000 0.0000 1
Pt1 0.5000 0.5000 0.0000 1
Au1 0.0000 0.2567 0.5000 1
```

Properties
Its energy is -34.5 eV per cell. The value obtained for the formation energy is -0.38 eV per atom. The crystal system is monoclinic.

=====

DFT (GGA-PBE) results for a relaxed structure of RbBa2LiAu.

Cell and atoms, written as CIF:
```
data_RbBa2LiAu
_symmetry_space_group_name_H-M 'P 4/m m m'
_symmetry_Int_Tables_number 123
_symmetry_space_group_name_Hall '-P 4 2'
_cell_length_a 6.4274
_cell_length_b 6.4274
_cell_length_c 6.6553
_cell_angle_alpha 90.00
_cell_angle_beta 90.00
_cell_angle_gamma 90.00
loop_
_atom_site_label
_atom_site_fract_x
_atom_site_fract_y
_atom_site_fract_z
_atom_site_occupancy
Rb1 0.0000 0.0000 0.0000 1
Ba1 0.0000 0.5000 0.5000 1
Li1 0.5000 0.5000 0.0000 1
Au1 0.0000 0.0000 0.5000 1
```

Properties
Its energy is -10.6 eV per cell. The value obtained for the formation energy is -0.13 eV per atom. The crystal system is tetragonal.

=====

DFT (GGA-PBE) results for a relaxed structure of RbBa2LiAu.

Cell and atoms, written as CIF:
```
data_RbBa2LiAu
_symmetry_space_group_name_H-M 'P 4/m m m'
_symmetry_Int_Tables_number 123
_symmetry_space_group_name_Hall '-P 4 2'
_cell_length_a 6.5156
_cell_length_b 6.5156
_cell_length_c 5.6485
_cell_angle_alpha 90.00
_cell_angle_beta 90.00
_cell_angle_gamma 90.00
loop_
_atom_site_label
_atom_site_fract_x
_atom_site_fract_y
_atom_site_fract_z
_atom_site_occupancy
Rb1 0.0000 0.0000 0.0000 1
Ba1 0.0000 0.5000 0.5000 1
Li1 0.5000 0.5000 0.0000 1
Au1 0.5000 0.5000 0.5000 1
```

Properties
Its energy is -11.0 eV per cell. The value obtained for the formation energy is -0.19 eV per atom. The crystal system is tetragonal.

=====

DFT (GGA-PBE) results for a relaxed structure of Ba6Li2RhAu.

Cell and atoms, written as CIF:
```
data_Ba6Li2RhAu
_symmetry_space_group_name_H-M 'P 1 21/c 1'
_symmetry_Int_Tables_number 14
_symmetry_space_group_name_Hall '-P 2ybc'
_cell_length_a 8.1582
_cell_length_b 9.1321
_cell_length_c 14.7107
_cell_angle_alpha 90.00
_cell_angle_beta 123.05
_cell_angle_gamma 90.00
loop_
_atom_site_label
_atom_site_fract_x
_atom_site_fract_y
_atom_site_fract_z
_atom_site_occupancy
Ba1 0.1362 0.0201 0.2414 1
Ba2 0.2157 0.7016 0.0469 1
Ba3 0.3625 0.1783 0.0468 1
Li1 0.3048 0.0936 0.7474 1
Rh1 0.0000 0.0000 0.0000 1
Au1 0.5000 0.0000 0.5000 1
```

Properties
Its energy is -56.1 eV per cell. The value obtained for the formation energy is -0.21 eV per atom. The crystal system is monoclinic.

=====

DFT (GGA-PBE) results for a relaxed structure of Ba6LiRhAu.

Cell and atoms, written as CIF:
```
data_Ba6LiRhAu
_symmetry_space_group_name_H-M 'P 3 1 2'
_symmetry_Int_Tables_number 149
_symmetry_space_group_name_Hall 'P 3 2'
_cell_length_a 8.2136
_cell_length_b 8.2136
_cell_length_c 7.7816
_cell_angle_alpha 90.00
_cell_angle_beta 90.00
_cell_angle_gamma 120.00
loop_
_atom_site_label
_atom_site_fract_x
_atom_site_fract_y
_atom_site_fract_z
_atom_site_occupancy
Ba1 0.0333 0.3510 0.2287 1
Li1 0.6667 0.3333 0.5000 1
Rh1 0.3333 0.6667 0.0000 1
Au1 0.0000 0.0000 0.0000 1
```

Properties
Its energy is -26.1 eV per cell. The value obtained for the formation energy is -0.23 eV per atom. The crystal system is trigonal.

=====

DFT (GGA-PBE) results for a relaxed structure of BaLiAuS2.

Cell and atoms, written as CIF:
```
data_BaLiAuS2
_symmetry_space_group_name_H-M 'P 1 2/c 1'
_symmetry_Int_Tables_number 13
_symmetry_space_group_name_Hall '-P 2yc'
_cell_length_a 6.9563
_cell_length_b 4.9844
_cell_length_c 7.4942
_cell_angle_alpha 90.00
_cell_angle_beta 102.89
_cell_angle_gamma 90.00
loop_
_atom_site_label
_atom_site_fract_x
_atom_site_fract_y
_atom_site_fract_z
_atom_site_occupancy
Ba1 0.0000 0.1963 0.2500 1
Li1 0.5000 0.4782 0.7500 1
Au1 0.5000 0.0000 0.0000 1
S1 0.2487 0.3160 0.9555 1
```

Properties
Its energy is -43.3 eV per cell. The crystal system is monoclinic. The calculation puts the uncorrected formation energy at -1257.9 meV/atom.

=====

DFT (GGA-PBE) results for a relaxed structure of Ba2Li3SbAu12.

Cell and atoms, written as CIF:
```
data_Ba2Li3SbAu12
_symmetry_space_group_name_H-M 'R -3 m'
_symmetry_Int_Tables_number 166
_symmetry_space_group_name_Hall '-R 3 2"'
_cell_length_a 7.0808
_cell_length_b 7.0808
_cell_length_c 28.7100
_cell_angle_alpha 90.00
_cell_angle_beta 90.00
_cell_angle_gamma 120.00
loop_
_atom_site_label
_atom_site_fract_x
_atom_site_fract_y
_atom_site_fract_z
_atom_site_occupancy
Ba1 0.0000 0.0000 0.1452 1
Li1 0.0000 0.5000 0.0000 1
Sb1 0.0000 0.0000 0.5000 1
Au1 0.0247 0.5123 0.0959 1
Au2 0.0610 0.5305 0.6248 1
```

Properties
Its energy is -176.6 eV per cell. The crystal system is trigonal. The calculation puts the uncorrected formation energy at -323.8 meV/atom.

=====

DFT (GGA-PBE) results for a relaxed structure of Ba2Li3Sb4Au.

Cell and atoms, written as CIF:
```
data_Ba2Li3Sb4Au
_symmetry_space_group_name_H-M 'P -4 m 2'
_symmetry_Int_Tables_number 115
_symmetry_space_group_name_Hall 'P -4 -2'
_cell_length_a 4.7947
_cell_length_b 4.7947
_cell_length_c 11.5510
_cell_angle_alpha 90.00
_cell_angle_beta 90.00
_cell_angle_gamma 90.00
loop_
_atom_site_label
_atom_site_fract_x
_atom_site_fract_y
_atom_site_fract_z
_atom_site_occupancy
Ba1 0.0000 0.5000 0.2424 1
Li1 0.0000 0.0000 0.0000 1
Li2 0.0000 0.5000 0.6316 1
Sb1 0.0000 0.0000 0.5000 1
Sb2 0.0000 0.5000 0.8683 1
Sb3 0.5000 0.5000 0.5000 1
Au1 0.5000 0.5000 0.0000 1
```

Properties
Its energy is -36.8 eV per cell. The crystal system is tetragonal. The calculation puts the uncorrected formation energy at -747.0 meV/atom.

=====

DFT (GGA-PBE) results for a relaxed structure of Ba2LiScAu6.

Cell and atoms, written as CIF:
```
data_Ba2LiScAu6
_symmetry_space_group_name_H-M 'C 1 2/m 1'
_symmetry_Int_Tables_number 12
_symmetry_space_group_name_Hall '-C 2y'
_cell_length_a 10.1823
_cell_length_b 10.1774
_cell_length_c 7.1741
_cell_angle_alpha 90.00
_cell_angle_beta 134.62
_cell_angle_gamma 90.00
loop_
_atom_site_label
_atom_site_fract_x
_atom_site_fract_y
_atom_site_fract_z
_atom_site_occupancy
Ba1 0.0000 0.2499 0.0000 1
Li1 0.0000 0.0000 0.5000 1
Sc1 0.0000 0.5000 0.5000 1
Au1 0.0000 0.2373 0.5000 1
Au2 0.2369 0.0000 0.4996 1
Au3 0.2376 0.0000 0.9749 1
```

Properties
Its energy is -73.8 eV per cell. The value obtained for the formation energy is -0.51 eV per atom. The crystal system is monoclinic.

=====

DFT (GGA-PBE) results for a relaxed structure of BaLiSi2Au5.

Cell and atoms, written as CIF:
```
data_BaLiSi2Au5
_symmetry_space_group_name_H-M 'P 4/m m m'
_symmetry_Int_Tables_number 123
_symmetry_space_group_name_Hall '-P 4 2'
_cell_length_a 4.6863
_cell_length_b 4.6863
_cell_length_c 9.2943
_cell_angle_alpha 90.00
_cell_angle_beta 90.00
_cell_angle_gamma 90.00
loop_
_atom_site_label
_atom_site_fract_x
_atom_site_fract_y
_atom_site_fract_z
_atom_site_occupancy
Ba1 0.0000 0.0000 0.0000 1
Li1 0.0000 0.0000 0.5000 1
Si1 0.5000 0.5000 0.2595 1
Au1 0.0000 0.5000 0.3386 1
Au2 0.5000 0.5000 0.0000 1
```

Properties
Its energy is -34.5 eV per cell. The crystal system is tetragonal. The calculation puts the uncorrected formation energy at -385.8 meV/atom.

=====

DFT (GGA-PBE) results for a relaxed structure of BaLiSiAu6.

Cell and atoms, written as CIF:
```
data_BaLiSiAu6
_symmetry_space_group_name_H-M 'I m m a'
_symmetry_Int_Tables_number 74
_symmetry_space_group_name_Hall '-I 2b 2'
_cell_length_a 7.2273
_cell_length_b 9.8658
_cell_length_c 10.9708
_cell_angle_alpha 90.00
_cell_angle_beta 90.00
_cell_angle_gamma 90.00
loop_
_atom_site_label
_atom_site_fract_x
_atom_site_fract_y
_atom_site_fract_z
_atom_site_occupancy
Ba1 0.0000 0.2500 0.2459 1
Li1 0.2500 0.2500 0.7500 1
Si1 0.0000 0.0000 0.0000 1
Au1 0.0000 0.2500 0.5609 1
Au2 0.0000 0.2500 0.9498 1
Au3 0.2105 0.0156 0.6265 1
```

Properties
Its energy is -125.3 eV per cell. The crystal system is orthorhombic. The calculation puts the uncorrected formation energy at -266.3 meV/atom.

=====

DFT (GGA-PBE) results for a relaxed structure of Ba2LiSi3Au12.

Cell and atoms, written as CIF:
```
data_Ba2LiSi3Au12
_symmetry_space_group_name_H-M 'R -3 m'
_symmetry_Int_Tables_number 166
_symmetry_space_group_name_Hall '-R 3 2"'
_cell_length_a 8.9414
_cell_length_b 8.9414
_cell_length_c 19.3045
_cell_angle_alpha 90.00
_cell_angle_beta 90.00
_cell_angle_gamma 120.00
loop_
_atom_site_label
_atom_site_fract_x
_atom_site_fract_y
_atom_site_fract_z
_atom_site_occupancy
Ba1 0.0000 0.0000 0.1138 1
Li1 0.0000 0.0000 0.5000 1
Si1 0.0000 0.5000 0.0000 1
Au1 0.0232 0.5116 0.1258 1
Au2 0.0356 0.5178 0.3366 1
```

Properties
Its energy is -194.7 eV per cell. The crystal system is trigonal. The calculation puts the uncorrected formation energy at -196.9 meV/atom.

=====

DFT (GGA-PBE) results for a relaxed structure of Ba2LiSiAu6.

Cell and atoms, written as CIF:
```
data_Ba2LiSiAu6
_symmetry_space_group_name_H-M 'P -1'
_symmetry_Int_Tables_number 2
_symmetry_space_group_name_Hall '-P 1'
_cell_length_a 6.7405
_cell_length_b 6.7946
_cell_length_c 7.2397
_cell_angle_alpha 62.49
_cell_angle_beta 62.28
_cell_angle_gamma 60.45
loop_
_atom_site_label
_atom_site_fract_x
_atom_site_fract_y
_atom_site_fract_z
_atom_site_occupancy
Ba1 0.2173 0.2157 0.3507 1
Li1 0.5000 0.5000 0.5000 1
Si1 0.0000 0.0000 0.0000 1
Au1 0.2479 0.2502 0.8315 1
Au2 0.2487 0.6731 0.8282 1
Au3 0.3275 0.7501 0.1707 1
```

Properties
Its energy is -36.2 eV per cell. The crystal system is triclinic. The calculation puts the uncorrected formation energy at -536.4 meV/atom.

=====

DFT (GGA-PBE) results for a relaxed structure of BaLi2SiAu4.

Cell and atoms, written as CIF:
```
data_BaLi2SiAu4
_symmetry_space_group_name_H-M 'R -3 m'
_symmetry_Int_Tables_number 166
_symmetry_space_group_name_Hall '-R 3 2"'
_cell_length_a 4.5323
_cell_length_b 4.5323
_cell_length_c 28.1656
_cell_angle_alpha 90.00
_cell_angle_beta 90.00
_cell_angle_gamma 120.00
loop_
_atom_site_label
_atom_site_fract_x
_atom_site_fract_y
_atom_site_fract_z
_atom_site_occupancy
Ba1 0.0000 0.0000 0.0000 1
Li1 0.0000 0.0000 0.2313 1
Si1 0.0000 0.0000 0.5000 1
Au1 0.0000 0.0000 0.1353 1
Au2 0.0000 0.0000 0.4099 1
```

Properties
Its energy is -83.3 eV per cell. The crystal system is trigonal. The calculation puts the uncorrected formation energy at -437.5 meV/atom.

=====

DFT (GGA-PBE) results for a relaxed structure of BaLi2SmAu4.

Cell and atoms, written as CIF:
```
data_BaLi2SmAu4
_symmetry_space_group_name_H-M 'R -3 m'
_symmetry_Int_Tables_number 166
_symmetry_space_group_name_Hall '-R 3 2"'
_cell_length_a 4.6139
_cell_length_b 4.6139
_cell_length_c 30.9543
_cell_angle_alpha 90.00
_cell_angle_beta 90.00
_cell_angle_gamma 120.00
loop_
_atom_site_label
_atom_site_fract_x
_atom_site_fract_y
_atom_site_fract_z
_atom_site_occupancy
Ba1 0.0000 0.0000 0.0000 1
Li1 0.0000 0.0000 0.2421 1
Sm1 0.0000 0.0000 0.5000 1
Au1 0.0000 0.0000 0.1142 1
Au2 0.0000 0.0000 0.4022 1
```

Properties
Its energy is -86.8 eV per cell. The value obtained for the formation energy is -0.67 eV per atom. The crystal system is trigonal.

=====

DFT (GGA-PBE) results for a relaxed structure of BaLiSn2Au.

Cell and atoms, written as CIF:
```
data_BaLiSn2Au
_symmetry_space_group_name_H-M 'I -4 m 2'
_symmetry_Int_Tables_number 119
_symmetry_space_group_name_Hall 'I -4 -2'
_cell_length_a 4.8253
_cell_length_b 4.8253
_cell_length_c 11.6168
_cell_angle_alpha 90.00
_cell_angle_beta 90.00
_cell_angle_gamma 90.00
loop_
_atom_site_label
_atom_site_fract_x
_atom_site_fract_y
_atom_site_fract_z
_atom_site_occupancy
Ba1 0.0000 0.0000 0.0000 1
Li1 0.0000 0.5000 0.2500 1
Sn1 0.0000 0.0000 0.3751 1
Au1 0.0000 0.5000 0.7500 1
```

Properties
Its energy is -35.9 eV per cell. The value obtained for the formation energy is -0.57 eV per atom. The crystal system is tetragonal.

=====

DFT (GGA-PBE) results for a relaxed structure of Ba2LiSn4Au3.

Cell and atoms, written as CIF:
```
data_Ba2LiSn4Au3
_symmetry_space_group_name_H-M 'P -4 m 2'
_symmetry_Int_Tables_number 115
_symmetry_space_group_name_Hall 'P -4 -2'
_cell_length_a 4.8138
_cell_length_b 4.8138
_cell_length_c 11.6193
_cell_angle_alpha 90.00
_cell_angle_beta 90.00
_cell_angle_gamma 90.00
loop_
_atom_site_label
_atom_site_fract_x
_atom_site_fract_y
_atom_site_fract_z
_atom_site_occupancy
Ba1 0.0000 0.5000 0.2440 1
Li1 0.5000 0.5000 0.0000 1
Sn1 0.0000 0.0000 0.5000 1
Sn2 0.0000 0.5000 0.8747 1
Sn3 0.5000 0.5000 0.5000 1
Au1 0.0000 0.0000 0.0000 1
Au2 0.0000 0.5000 0.6351 1
```

Properties
Its energy is -37.5 eV per cell. The value obtained for the formation energy is -0.59 eV per atom. The crystal system is tetragonal.

=====

DFT (GGA-PBE) results for a relaxed structure of BaLiSnAu3.

Cell and atoms, written as CIF:
```
data_BaLiSnAu3
_symmetry_space_group_name_H-M 'C m c m'
_symmetry_Int_Tables_number 63
_symmetry_space_group_name_Hall '-C 2c 2'
_cell_length_a 6.2327
_cell_length_b 12.4940
_cell_length_c 7.4220
_cell_angle_alpha 90.00
_cell_angle_beta 90.00
_cell_angle_gamma 90.00
loop_
_atom_site_label
_atom_site_fract_x
_atom_site_fract_y
_atom_site_fract_z
_atom_site_occupancy
Ba1 0.0000 0.1990 0.2500 1
Li1 0.0000 0.4435 0.2500 1
Sn1 0.0000 0.1211 0.7500 1
Au1 0.0000 0.3460 0.7500 1
Au2 0.2474 0.5000 0.0000 1
```

Properties
Its energy is -81.9 eV per cell. The value obtained for the formation energy is -0.47 eV per atom. The crystal system is orthorhombic.

=====

DFT (GGA-PBE) results for a relaxed structure of BaLiSn2Au4.

Cell and atoms, written as CIF:
```
data_BaLiSn2Au4
_symmetry_space_group_name_H-M 'R -3 m'
_symmetry_Int_Tables_number 166
_symmetry_space_group_name_Hall '-R 3 2"'
_cell_length_a 4.7502
_cell_length_b 4.7502
_cell_length_c 28.7675
_cell_angle_alpha 90.00
_cell_angle_beta 90.00
_cell_angle_gamma 120.00
loop_
_atom_site_label
_atom_site_fract_x
_atom_site_fract_y
_atom_site_fract_z
_atom_site_occupancy
Ba1 0.0000 0.0000 0.0000 1
Li1 0.0000 0.0000 0.5000 1
Sn1 0.0000 0.0000 0.2397 1
Au1 0.0000 0.0000 0.1416 1
Au2 0.0000 0.0000 0.4058 1
```

Properties
Its energy is -86.7 eV per cell. The value obtained for the formation energy is -0.49 eV per atom. The crystal system is trigonal.